{"formula": "Ni12Sb3Pt", "functional": "PBE", "state": "relaxed", "lattice": [[3.711, 0.000, 0.000], [0.000, 3.711, 0.000], [0.000, 0.000, 14.849]], "species": ["Ni", "Ni", "Ni", "Ni", "Ni", "Ni", "Ni", "Ni", "Ni", "Ni", "Ni", "Ni", "Sb", "Sb", "Sb", "Pt"], "frac_coords": [[0.000, 0.000, 0.000], [0.000, 0.000, 0.249], [0.000, 0.000, 0.500], [0.000, 0.000, 0.751], [0.000, 0.500, 0.126], [0.000, 0.500, 0.378], [0.000, 0.500, 0.622], [0.000, 0.500, 0.874], [0.500, 0.000, 0.126], [0.500, 0.000, 0.378], [0.500, 0.000, 0.622], [0.500, 0.000, 0.874], [0.500, 0.500, 0.000], [0.500, 0.500, 0.256], [0.500, 0.500, 0.744], [0.500, 0.500, 0.500]], "n_ef_per_ev_cell": 19.9, "crystal_system": "tetragonal", "formation_energy_uncorrected_mev_per_atom": -119, "space_group": "P4/mmm", "final_energy_ev_per_atom": -5.6056}